Record 1
LaSiBi2C after structural relaxation. Source: Alexandria, functional PBE-GGA.

```
LaSiBi2C
1.0
6.0520 0.0000 0.0000
0.0000 6.0520 0.0000
0.0000 0.0000 3.4780
La Si Bi C
1 1 2 1
direct
0.0000 0.0000 0.0000 La
0.5000 0.5000 0.5000 Si
0.0000 0.5000 0.5000 Bi
0.5000 0.0000 0.5000 Bi
0.5000 0.5000 0.0000 C
```

Results
E_form (uncorrected)   0.37 eV per atom


Record 2
La2Sm2Bi2C after structural relaxation. Source: Alexandria, functional PBE-GGA.

```
La2Sm2Bi2C
1.0
-2.5095 2.5095 8.4030
2.5095 -2.5095 8.4030
2.5095 2.5095 -8.4030
La Sm Bi C
2 2 2 1
direct
0.1570 0.1570 0.0000 La
0.8430 0.8430 0.0000 La
0.0000 0.5000 0.5000 Sm
0.5000 0.0000 0.5000 Sm
0.3614 0.3614 0.0000 Bi
0.6386 0.6386 0.0000 Bi
0.0000 0.0000 0.0000 C
```

Results
Calculated formation energy   -0.692 eV/atom


Record 3
LaSn2BiC after structural relaxation. Source: Alexandria, functional PBE-GGA.

```
LaSn2BiC
1.0
5.7893 0.0000 0.0000
0.0000 5.7893 0.0000
0.0000 0.0000 6.2126
La Sn Bi C
1 2 1 1
direct
0.0000 0.0000 0.0000 La
0.0000 0.5000 0.5000 Sn
0.5000 0.0000 0.5000 Sn
0.0000 0.0000 0.5000 Bi
0.5000 0.5000 0.0000 C
```

Results
Calculated formation energy   1.686 eV/atom